Density functional theory data (SCAN) for Y6CrGe2S14 at its PBEsol-relaxed geometry.

Output
SG ... P3 (143)
Uncorrected formation energy ... -1752.1 meV per atom

Cell: 9.700 9.700 5.674 Å, 90.00 90.00 120.00°
Fractional coordinates of all 23 atoms:
Y1 0.023 0.557 0.000
Y2 0.308 0.107 0.502
Y3 0.443 0.466 0.000
Y4 0.534 0.977 0.000
Y5 0.799 0.692 0.502
Y6 0.893 0.201 0.502
Cr1 0.667 0.333 0.285
Ge1 0.000 0.000 0.926
Ge2 0.333 0.667 0.419
S1 0.000 0.000 0.310
S2 0.087 0.848 0.764
S3 0.152 0.239 0.764
S4 0.183 0.428 0.257
S5 0.244 0.817 0.257
S6 0.333 0.667 0.803
S7 0.422 0.182 0.047
S8 0.512 0.425 0.517
S9 0.572 0.756 0.257
S10 0.575 0.087 0.517
S11 0.761 0.578 0.047
S12 0.761 0.913 0.764
S13 0.818 0.239 0.047
S14 0.913 0.488 0.517

Density functional theory data (SCAN) for CrGeSb2 at its PBEsol-relaxed geometry.

Output
SG ... I-42d (122)
Uncorrected formation energy ... 181.8 meV per atom

Cell: 7.296 7.296 7.296 Å, 128.95 128.95 75.09°
Fractional coordinates of all 8 atoms:
Cr1 0.000 0.000 0.000
Cr2 0.750 0.250 0.500
Ge1 0.250 0.750 0.500
Ge2 0.500 0.500 0.000
Sb1 0.125 0.625 0.000
Sb2 0.375 0.375 0.500
Sb3 0.625 0.125 0.000
Sb4 0.875 0.875 0.500

Density functional theory data (SCAN) for Cr2SiGeSb at its PBEsol-relaxed geometry.

Output
SG ... P4/mmm (123)
Uncorrected formation energy ... 1201.8 meV per atom

Cell: 4.983 4.983 5.139 Å, 90.00 90.00 90.00°
Fractional coordinates of all 5 atoms:
Cr1 0.000 0.500 0.000
Cr2 0.500 0.000 0.000
Si1 0.000 0.000 0.500
Ge1 0.500 0.500 0.500
Sb1 0.500 0.500 0.000

Density functional theory data (SCAN) for Sc7Cr5Ge9 at its PBEsol-relaxed geometry.

Output
SG ... Fmmm (69)
Formation energy ... -13.455 eV/f.u.

Cell: 9.811 9.802 9.774 Å, 60.15 60.06 59.78°
Fractional coordinates of all 42 atoms:
Sc1 0.066 0.187 0.190
Sc2 0.179 0.179 0.821
Sc3 0.180 0.820 0.180
Sc4 0.187 0.066 0.557
Sc5 0.190 0.557 0.066
Sc6 0.337 0.663 0.663
Sc7 0.443 0.810 0.813
Sc8 0.557 0.190 0.187
Sc9 0.663 0.337 0.337
Sc10 0.810 0.443 0.934
Sc11 0.813 0.934 0.443
Sc12 0.820 0.180 0.820
Sc13 0.821 0.821 0.179
Sc14 0.934 0.813 0.810
Cr1 0.095 0.593 0.591
Cr2 0.279 0.409 0.407
Cr3 0.373 0.627 0.373
Cr4 0.407 0.905 0.279
Cr5 0.409 0.279 0.905
Cr6 0.591 0.721 0.095
Cr7 0.593 0.095 0.721
Cr8 0.627 0.373 0.627
Cr9 0.721 0.591 0.593
Cr10 0.905 0.407 0.409
Ge1 0.000 0.375 0.625
Ge2 0.000 0.625 0.375
Ge3 0.112 0.888 0.888
Ge4 0.124 0.462 0.876
Ge5 0.133 0.867 0.462
Ge6 0.250 0.250 0.250
Ge7 0.375 0.000 0.000
Ge8 0.378 0.378 0.622
Ge9 0.462 0.124 0.538
Ge10 0.462 0.538 0.133
Ge11 0.538 0.462 0.867
Ge12 0.538 0.876 0.462
Ge13 0.622 0.622 0.378
Ge14 0.625 0.000 0.000
Ge15 0.750 0.750 0.750
Ge16 0.867 0.133 0.538
Ge17 0.876 0.538 0.124
Ge18 0.888 0.112 0.112

Density functional theory data (SCAN) for ScCrGe2 at its PBEsol-relaxed geometry.

Output
SG ... Pbam (55)
ΔE to the lowest computed polymorph ... 0.0 meV/atom
Formation energy ... -2.231 eV/f.u.

Cell: 9.211 9.886 8.103 Å, 90.00 90.00 90.00°
Fractional coordinates of all 48 atoms:
Sc1 0.165 0.181 0.000
Sc2 0.170 0.453 0.244
Sc3 0.170 0.453 0.756
Sc4 0.330 0.953 0.244
Sc5 0.330 0.953 0.756
Sc6 0.335 0.681 0.000
Sc7 0.665 0.319 0.000
Sc8 0.670 0.047 0.244
Sc9 0.670 0.047 0.756
Sc10 0.830 0.547 0.244
Sc11 0.830 0.547 0.756
Sc12 0.835 0.819 0.000
Cr1 0.000 0.000 0.246
Cr2 0.000 0.000 0.754
Cr3 0.077 0.757 0.249
Cr4 0.077 0.757 0.751
Cr5 0.423 0.257 0.249
Cr6 0.423 0.257 0.751
Cr7 0.500 0.500 0.246
Cr8 0.500 0.500 0.754
Cr9 0.577 0.743 0.249
Cr10 0.577 0.743 0.751
Cr11 0.923 0.243 0.249
Cr12 0.923 0.243 0.751
Ge1 0.038 0.627 0.500
Ge2 0.043 0.622 0.000
Ge3 0.121 0.906 0.500
Ge4 0.129 0.900 0.000
Ge5 0.174 0.182 0.338
Ge6 0.174 0.182 0.662
Ge7 0.326 0.682 0.338
Ge8 0.326 0.682 0.662
Ge9 0.371 0.400 0.000
Ge10 0.379 0.406 0.500
Ge11 0.457 0.122 0.000
Ge12 0.462 0.127 0.500
Ge13 0.538 0.873 0.500
Ge14 0.543 0.878 0.000
Ge15 0.621 0.594 0.500
Ge16 0.629 0.600 0.000
Ge17 0.674 0.318 0.338
Ge18 0.674 0.318 0.662
Ge19 0.826 0.818 0.338
Ge20 0.826 0.818 0.662
Ge21 0.871 0.100 0.000
Ge22 0.879 0.094 0.500
Ge23 0.957 0.378 0.000
Ge24 0.962 0.373 0.500

Density functional theory data (SCAN) for ScCrGe2 at its PBEsol-relaxed geometry.

Output
SG ... Fm-3m (225)
ΔE to the lowest computed polymorph ... 286.7 meV/atom
Formation energy ... -1.084 eV/f.u.

Cell: 4.508 4.508 4.508 Å, 60.00 60.00 60.00°
Fractional coordinates of all 4 atoms:
Sc1 0.000 0.000 0.000
Cr1 0.500 0.500 0.500
Ge1 0.250 0.250 0.250
Ge2 0.750 0.750 0.750

Density functional theory data (SCAN) for CrGeSe3 at its PBEsol-relaxed geometry.

Output
SG ... Pm-3m (221)
Uncorrected formation energy ... 455.5 meV per atom

Cell: 4.888 4.888 4.888 Å, 90.00 90.00 90.00°
Fractional coordinates of all 5 atoms:
Cr1 0.000 0.000 0.000
Ge1 0.500 0.500 0.500
Se1 0.000 0.500 0.500
Se2 0.500 0.000 0.500
Se3 0.500 0.500 0.000

Density functional theory data (SCAN) for Cr2GeTeSe at its PBEsol-relaxed geometry.

Output
SG ... P4/mmm (123)
Uncorrected formation energy ... 288.3 meV per atom

Cell: 4.789 4.789 5.171 Å, 90.00 90.00 90.00°
Fractional coordinates of all 5 atoms:
Cr1 0.000 0.500 0.000
Cr2 0.500 0.000 0.000
Ge1 0.000 0.000 0.500
Te1 0.500 0.500 0.500
Se1 0.000 0.000 0.000